<1>
Computed, not measured: a relaxed structure of LaIr3Au at the GGA-PBE level of DFT.

Unit cell a=4.9162 b=4.9162 c=4.9162 alpha=90.00 beta=90.00 gamma=90.00
Closest atoms and distances in Å follow each position.
Space group Pm-3m (No. 221)
Symmetry-distinct sites (fractional):
1 La 0.0000 0.0000 0.0000 [1 per cell]  12 Ir 3.48
2 Ir 0.0000 0.5000 0.5000 [3 per cell]  2 Au 2.46
3 Au 0.5000 0.5000 0.5000 [1 per cell]  6 Ir 2.46

**Mass density**: 12752 kg/m3

<2>
Computed, not measured: a relaxed structure of LaIr3Au at the GGA-PBE level of DFT.

Unit cell a=4.9221 b=4.9221 c=4.9221 alpha=90.00 beta=90.00 gamma=90.00
Closest atoms and distances in Å follow each position.
Space group Pm-3m (No. 221)
Symmetry-distinct sites (fractional):
1 La 0.0000 0.0000 0.0000 [1 per cell]  6 Ir 2.46
2 Ir 0.0000 0.0000 0.5000 [3 per cell]  2 La 2.46
3 Au 0.5000 0.5000 0.5000 [1 per cell]  12 Ir 3.48

**Mass density**: 12707 kg/m3

Which of them is most stable? Easy: <1>.